The following is a DFT calculation (PBE-GGA) of crystalline MgIr2PdC at its relaxed geometry.

Cell and atoms, written as CIF:
```
data_MgIr2PdC
_cell_length_a 4.0454
_cell_length_b 4.0454
_cell_length_c 4.3088
_cell_angle_alpha 90.00
_cell_angle_beta 90.00
_cell_angle_gamma 90.00
_space_group_name_H-M_alt 'P 1'
_space_group_IT_number 1
loop_
_space_group_symop_operation_xyz
'x,y,z'
loop_
_atom_site_label
_atom_site_fract_x
_atom_site_fract_y
_atom_site_fract_z
Mg1 0.0000 0.0000 0.0000
Ir1 0.0000 0.5000 0.5000
Ir2 0.5000 0.0000 0.5000
Pd1 0.5000 0.5000 0.0000
C1 0.5000 0.5000 0.5000
```

For the formation enthalpy at 0 K, the calculation gives -0.07 eV/atom. Its calculated total energy is -34.075 eV/f.u.

---

The following is a DFT calculation (PBE-GGA) of crystalline AcMgAlIn2 at its relaxed geometry.

Cell and atoms, written as CIF:
```
data_AcMgAlIn2
_cell_length_a 4.6749
_cell_length_b 4.6749
_cell_length_c 12.2217
_cell_angle_alpha 90.00
_cell_angle_beta 90.00
_cell_angle_gamma 90.00
_space_group_name_H-M_alt 'P 1'
_space_group_IT_number 1
loop_
_space_group_symop_operation_xyz
'x,y,z'
loop_
_atom_site_label
_atom_site_fract_x
_atom_site_fract_y
_atom_site_fract_z
Ac1 0.0000 0.0000 0.0000
Ac2 0.5000 0.5000 0.5000
Mg1 0.0000 0.5000 0.7500
Mg2 0.5000 0.0000 0.2500
Al1 0.0000 0.5000 0.2500
Al2 0.5000 0.0000 0.7500
In1 0.0000 0.0000 0.3832
In2 0.0000 0.0000 0.6168
In3 0.5000 0.5000 0.1168
In4 0.5000 0.5000 0.8832
```

For the formation enthalpy at 0 K, the calculation gives -0.30 eV/atom. Its calculated total energy is -16.409 eV/f.u.

---

The following is a DFT calculation (PBE-GGA) of crystalline SiSb2As at its relaxed geometry.

Cell and atoms, written as CIF:
```
data_SiSb2As
_cell_length_a 3.7542
_cell_length_b 5.2053
_cell_length_c 9.2236
_cell_angle_alpha 90.00
_cell_angle_beta 90.00
_cell_angle_gamma 90.00
_space_group_name_H-M_alt 'P 1'
_space_group_IT_number 1
loop_
_space_group_symop_operation_xyz
'x,y,z'
loop_
_atom_site_label
_atom_site_fract_x
_atom_site_fract_y
_atom_site_fract_z
Si1 0.0000 0.0000 0.0000
Si2 0.5000 0.5000 0.0000
Sb1 0.0000 0.5000 0.2411
Sb2 0.0000 0.5000 0.7589
Sb3 0.5000 0.0000 0.2411
Sb4 0.5000 0.0000 0.7589
As1 0.0000 0.0000 0.5000
As2 0.5000 0.5000 0.5000
```

As for the energy relative to the lowest polymorph listed for this composition: 322 meV/atom. Its calculated total energy is -16.378 eV/f.u.

---

The following is a DFT calculation (PBE-GGA) of crystalline CsAcTc2O7 at its relaxed geometry.

Cell and atoms, written as CIF:
```
data_CsAcTc2O7
_cell_length_a 3.9643
_cell_length_b 3.9643
_cell_length_c 10.9837
_cell_angle_alpha 90.00
_cell_angle_beta 90.00
_cell_angle_gamma 90.00
_space_group_name_H-M_alt 'P 1'
_space_group_IT_number 1
loop_
_space_group_symop_operation_xyz
'x,y,z'
loop_
_atom_site_label
_atom_site_fract_x
_atom_site_fract_y
_atom_site_fract_z
Cs1 0.0000 0.0000 0.0000
Ac1 0.0000 0.0000 0.5000
Tc1 0.5000 0.5000 0.3045
Tc2 0.5000 0.5000 0.6955
O1 0.0000 0.5000 0.3317
O2 0.0000 0.5000 0.6683
O3 0.5000 0.0000 0.3317
O4 0.5000 0.0000 0.6683
O5 0.5000 0.5000 0.1427
O6 0.5000 0.5000 0.5000
O7 0.5000 0.5000 0.8573
```

Its calculated total energy is -81.532 eV/f.u.

---

The following is a DFT calculation (PBE-GGA) of crystalline Dy3Tm3Rh2 at its relaxed geometry.

Cell and atoms, written as CIF:
```
data_Dy3Tm3Rh2
_cell_length_a 6.7589
_cell_length_b 6.7589
_cell_length_c 17.7470
_cell_angle_alpha 90.00
_cell_angle_beta 90.00
_cell_angle_gamma 147.51
_space_group_name_H-M_alt 'P 1'
_space_group_IT_number 1
loop_
_space_group_symop_operation_xyz
'x,y,z'
loop_
_atom_site_label
_atom_site_fract_x
_atom_site_fract_y
_atom_site_fract_z
Dy1 0.0582 0.9418 0.5902
Dy2 0.0582 0.9418 0.9098
Dy3 0.2784 0.7216 0.7500
Dy4 0.7216 0.2784 0.2500
Dy5 0.9418 0.0582 0.0902
Dy6 0.9418 0.0582 0.4098
Tm1 0.3289 0.6711 0.5578
Tm2 0.3289 0.6711 0.9422
Tm3 0.4475 0.5525 0.2500
Tm4 0.5525 0.4475 0.7500
Tm5 0.6711 0.3289 0.0578
Tm6 0.6711 0.3289 0.4422
Rh1 0.2951 0.7049 0.1340
Rh2 0.2951 0.7049 0.3660
Rh3 0.7049 0.2951 0.6340
Rh4 0.7049 0.2951 0.8660
```

For the formation enthalpy at 0 K, the calculation gives -0.43 eV/atom. Its calculated total energy is -45.371 eV/f.u.

---

The following is a DFT calculation (PBE-GGA) of crystalline NpTc2Pt at its relaxed geometry.

Cell and atoms, written as CIF:
```
data_NpTc2Pt
_cell_length_a 4.1631
_cell_length_b 4.1631
_cell_length_c 3.7759
_cell_angle_alpha 90.00
_cell_angle_beta 90.00
_cell_angle_gamma 90.00
_space_group_name_H-M_alt 'P 1'
_space_group_IT_number 1
loop_
_space_group_symop_operation_xyz
'x,y,z'
loop_
_atom_site_label
_atom_site_fract_x
_atom_site_fract_y
_atom_site_fract_z
Np1 0.0000 0.0000 0.0000
Tc1 0.0000 0.5000 0.5000
Tc2 0.5000 0.0000 0.5000
Pt1 0.5000 0.5000 0.0000
```

For the formation enthalpy at 0 K, the calculation gives -0.19 eV/atom. Its calculated total energy is -40.492 eV/f.u.

---

The following is a DFT calculation (PBE-GGA) of crystalline TaMn at its relaxed geometry.

Cell and atoms, written as CIF:
```
data_TaMn
_cell_length_a 2.7946
_cell_length_b 2.7946
_cell_length_c 7.5198
_cell_angle_alpha 90.00
_cell_angle_beta 90.00
_cell_angle_gamma 90.00
_space_group_name_H-M_alt 'P 1'
_space_group_IT_number 1
loop_
_space_group_symop_operation_xyz
'x,y,z'
loop_
_atom_site_label
_atom_site_fract_x
_atom_site_fract_y
_atom_site_fract_z
Ta1 0.2500 0.2500 0.1570
Ta2 0.7500 0.7500 0.8430
Mn1 0.2500 0.2500 0.5793
Mn2 0.7500 0.7500 0.4207
```

For the formation enthalpy at 0 K, the calculation gives 0.05 eV/atom. Its calculated total energy is -20.923 eV/f.u.

---

The following is a DFT calculation (PBE-GGA) of crystalline LaCrRe2 at its relaxed geometry.

Cell and atoms, written as CIF:
```
data_LaCrRe2
_cell_length_a 3.0755
_cell_length_b 3.0925
_cell_length_c 7.5657
_cell_angle_alpha 90.00
_cell_angle_beta 90.06
_cell_angle_gamma 90.00
_space_group_name_H-M_alt 'P 1'
_space_group_IT_number 1
loop_
_space_group_symop_operation_xyz
'x,y,z'
loop_
_atom_site_label
_atom_site_fract_x
_atom_site_fract_y
_atom_site_fract_z
La1 0.0000 0.0000 0.0000
Cr1 0.0000 0.0000 0.5000
Re1 0.5003 0.5000 0.3233
Re2 0.4997 0.5000 0.6767
```

As for the energy relative to the lowest polymorph listed for this composition: 40 meV/atom. For the formation enthalpy at 0 K, the calculation gives 0.38 eV/atom. Its calculated total energy is -37.913 eV/f.u.